## NiPt2Rh2 (PBE)

Data for crystalline NiPt2Rh2 at its relaxed geometry.

POSCAR file:
```
NiPt2Rh2
1.0
-4.351 -4.653 -1.092
2.684 -1.157 -5.765
2.288 -2.507 1.568
Rh Pt Ni
4 4 2
Direct
0.649 0.851 0.500
0.851 0.351 0.500
0.351 0.149 0.500
0.149 0.649 0.500
0.852 0.648 0.000
0.352 0.852 0.000
0.648 0.148 0.000
0.148 0.352 0.000
0.500 0.500 0.000
0.000 0.000 0.000
```

Properties
Crystal system: tetragonal
Magnetization (Bohr magnetons per cell): 1.90
Energy relative to the elements (eV per atom): 0.309
Space-group type: P4/mbm (127)
Volume (Å³ per cell): 156

=====

## Ni3PtRh (PBE)

Data for crystalline Ni3PtRh at its relaxed geometry.

POSCAR file:
```
Ni3PtRh
1.0
-2.964 3.200 0.786
0.075 -0.992 4.319
3.294 2.902 0.609
Pt Ni Rh
1 3 1
Direct
0.500 0.500 0.500
0.000 0.500 0.000
0.000 0.000 0.500
0.500 0.000 0.000
0.000 0.000 0.000
```

Properties
Crystal system: cubic
Magnetization (Bohr magnetons per cell): 3.95
Energy relative to the elements (eV per atom): 1.337
Space-group type: Pm-3m (221)
Volume (Å³ per cell): 87

=====

## Ni2PtRh2 (PBE)

Data for crystalline Ni2PtRh2 at its relaxed geometry.

POSCAR file:
```
Ni2PtRh2
1.0
-2.104 -6.708 -0.413
0.757 0.194 -6.999
2.620 -0.838 0.260
Ni Rh Pt
4 4 2
Direct
0.121 0.379 0.000
0.379 0.879 0.000
0.621 0.121 0.000
0.879 0.621 0.000
0.175 0.675 0.500
0.825 0.325 0.500
0.325 0.175 0.500
0.675 0.825 0.500
0.500 0.500 0.000
0.000 0.000 0.000
```

Properties
Crystal system: tetragonal
Magnetization (Bohr magnetons per cell): 7.82
Energy relative to the elements (eV per atom): 0.144
Space-group type: P4/mbm (127)
Volume (Å³ per cell): 137

=====

## Ni3Pt2Rh3 (PBE)

Data for crystalline Ni3Pt2Rh3 at its relaxed geometry.

POSCAR file:
```
Ni3Pt2Rh3
1.0
4.524 -0.935 -0.646
-0.866 4.387 -1.173
-0.792 -0.175 5.935
Rh Ni Pt
3 3 2
Direct
0.122 0.622 0.243
0.878 0.378 0.757
0.500 0.500 0.000
0.620 0.120 0.240
0.380 0.880 0.760
0.000 0.000 0.000
0.753 0.753 0.506
0.247 0.247 0.494
```

Properties
Crystal system: monoclinic
Magnetization (Bohr magnetons per cell): 4.67
Energy relative to the elements (eV per atom): 0.002
Space-group type: C2/m (12)
Volume (Å³ per cell): 109

=====

## Ni3Pt2Rh (PBE)

Data for crystalline Ni3Pt2Rh at its relaxed geometry.

POSCAR file:
```
Ni3Pt2Rh
1.0
5.440 0.000 0.000
0.000 6.739 -1.707
0.000 -4.366 5.410
Ni Pt Rh
6 4 2
Direct
0.970 0.500 0.500
0.470 0.835 0.165
0.470 0.165 0.835
0.970 0.835 0.165
0.970 0.165 0.835
0.470 0.500 0.500
0.220 0.666 0.334
0.720 0.334 0.666
0.720 0.666 0.334
0.220 0.334 0.666
0.220 0.000 0.000
0.720 0.000 0.000
```

Properties
Crystal system: orthorhombic
Magnetization (Bohr magnetons per cell): 0.02
Energy relative to the elements (eV per atom): 0.018
Space-group type: Cmmm (65)
Volume (Å³ per cell): 158

=====

## Ni4Pt4Rh3 (PBE)

Data for crystalline Ni4Pt4Rh3 at its relaxed geometry.

POSCAR file:
```
Ni4Pt4Rh3
1.0
-0.358 -2.388 1.153
3.881 -1.262 -1.409
7.363 2.782 11.149
Ni Rh Pt
4 3 4
Direct
0.451 0.456 0.088
0.548 0.544 0.913
0.682 0.181 0.637
0.318 0.819 0.363
0.137 0.637 0.727
0.000 0.000 0.000
0.863 0.363 0.273
0.410 0.910 0.179
0.730 0.730 0.540
0.270 0.270 0.460
0.590 0.090 0.821
```

Properties
Crystal system: triclinic
Magnetization (Bohr magnetons per cell): 7.95
Energy relative to the elements (eV per atom): 0.090
Space-group type: P-1 (2)
Volume (Å³ per cell): 155

=====

## Ni8PtRh6 (PBE)

Data for crystalline Ni8PtRh6 at its relaxed geometry.

POSCAR file:
```
Ni8PtRh6
1.0
-3.744 5.352 2.306
-2.567 -1.883 6.158
1.850 -0.903 6.621
Ni Rh Pt
8 6 1
Direct
0.667 0.668 0.999
0.335 0.936 0.595
0.333 0.332 0.001
0.332 0.733 0.405
0.668 0.267 0.595
0.998 0.400 0.399
0.665 0.064 0.405
0.002 0.600 0.601
0.999 0.800 0.795
0.343 0.524 0.202
0.001 0.200 0.205
0.337 0.139 0.794
0.657 0.476 0.798
0.663 0.861 0.206
0.000 0.000 0.000
```

Properties
Crystal system: triclinic
Magnetization (Bohr magnetons per cell): 8.42
Energy relative to the elements (eV per atom): 0.024
Space-group type: P-1 (2)
Volume (Å³ per cell): 191

=====

## Ni2Pt2Rh3 (PBE)

Data for crystalline Ni2Pt2Rh3 at its relaxed geometry.

POSCAR file:
```
Ni2Pt2Rh3
1.0
-1.711 -1.234 3.649
2.374 -0.159 1.059
0.236 9.588 0.913
Rh Pt Ni
3 2 2
Direct
0.715 0.000 0.430
0.000 0.000 0.000
0.285 0.000 0.570
0.135 0.000 0.270
0.865 0.000 0.730
0.569 0.500 0.138
0.431 0.500 0.862
```

Properties
Crystal system: orthorhombic
Magnetization (Bohr magnetons per cell): 1.79
Energy relative to the elements (eV per atom): 0.297
Space-group type: Cmmm (65)
Volume (Å³ per cell): 103

=====

## Ni3Pt12Rh (PBE)

Data for crystalline Ni3Pt12Rh at its relaxed geometry.

POSCAR file:
```
Ni3Pt12Rh
1.0
3.895 0.000 0.000
0.000 3.895 0.000
0.000 0.000 15.645
Pt Rh Ni
12 1 3
Direct
0.000 0.500 0.376
0.500 0.000 0.376
0.500 0.500 0.000
0.500 0.000 0.871
0.500 0.500 0.500
0.500 0.000 0.624
0.000 0.500 0.871
0.500 0.500 0.747
0.000 0.500 0.624
0.500 0.000 0.129
0.000 0.500 0.129
0.500 0.500 0.253
0.000 0.000 0.000
0.000 0.000 0.500
0.000 0.000 0.252
0.000 0.000 0.748
```

Properties
Crystal system: tetragonal
Magnetization (Bohr magnetons per cell): 5.13
Energy relative to the elements (eV per atom): -0.058
Space-group type: P4/mmm (123)
Volume (Å³ per cell): 237

=====

## Ni3Pt2Rh2 (PBE)

Data for crystalline Ni3Pt2Rh2 at its relaxed geometry.

POSCAR file:
```
Ni3Pt2Rh2
1.0
4.287 -0.001 -1.197
-2.189 3.482 0.433
-0.525 0.579 6.395
Rh Pt Ni
2 2 3
Direct
0.143 0.868 0.417
0.857 0.132 0.583
0.715 0.289 0.141
0.285 0.711 0.859
0.566 0.425 0.706
0.000 0.000 0.000
0.434 0.575 0.294
```

Properties
Crystal system: monoclinic
Magnetization (Bohr magnetons per cell): 0.00
Energy relative to the elements (eV per atom): 0.058
Space-group type: C2/m (12)
Volume (Å³ per cell): 94

=====

## Ni5Pt6Rh2 (PBE)

Data for crystalline Ni5Pt6Rh2 at its relaxed geometry.

POSCAR file:
```
Ni5Pt6Rh2
1.0
2.705 0.000 0.000
0.000 8.896 0.000
0.000 0.000 15.335
Ni Rh Pt
10 4 12
Direct
0.500 0.500 0.000
0.500 0.411 0.727
0.500 0.589 0.273
0.500 0.201 0.949
0.500 0.799 0.051
0.500 0.911 0.773
0.500 0.000 0.500
0.500 0.089 0.227
0.500 0.299 0.449
0.500 0.701 0.551
0.000 0.842 0.216
0.000 0.658 0.716
0.000 0.158 0.784
0.000 0.342 0.284
0.000 0.553 0.418
0.500 0.312 0.122
0.500 0.188 0.622
0.000 0.947 0.918
0.500 0.688 0.878
0.000 0.084 0.369
0.000 0.447 0.582
0.000 0.053 0.082
0.500 0.812 0.378
0.000 0.584 0.131
0.000 0.416 0.869
0.000 0.916 0.631
```

Properties
Crystal system: orthorhombic
Magnetization (Bohr magnetons per cell): 15.23
Energy relative to the elements (eV per atom): 0.049
Space-group type: Pbam (55)
Volume (Å³ per cell): 369

=====

## NiPt7Rh2 (PBE)

Data for crystalline NiPt7Rh2 at its relaxed geometry.

POSCAR file:
```
NiPt7Rh2
1.0
4.012 0.000 0.000
0.000 7.473 -0.411
0.000 -3.665 6.525
Pt Rh Ni
7 2 1
Direct
0.500 0.500 0.500
0.500 0.083 0.291
0.000 0.192 0.808
0.500 0.291 0.083
0.500 0.709 0.917
0.500 0.917 0.709
0.000 0.808 0.192
0.500 0.304 0.696
0.500 0.696 0.304
0.000 0.000 0.000
```

Properties
Crystal system: orthorhombic
Magnetization (Bohr magnetons per cell): 1.42
Energy relative to the elements (eV per atom): 0.478
Space-group type: Cmmm (65)
Volume (Å³ per cell): 190

=====

- Which value of magnetization does entry 7 give?
  8.42 Bohr magnetons per cell

=====

- Look up the volume of the fourth one.
  109 Å³ per cell